# 1
The following is a PBE calculation of BeAg2Sn2 after structural relaxation, from the Alexandria database.

```
BeAg2Sn2
1.0
-5.719 -3.510 -1.002
3.570 -4.990 -2.897
0.517 -2.016 4.110
Sn Be Ag
4 2 4
Direct
0.841 0.659 0.000
0.659 0.159 0.000
0.159 0.341 0.000
0.341 0.841 0.000
0.500 0.500 0.000
0.000 0.000 0.000
0.651 0.849 0.500
0.349 0.151 0.500
0.151 0.651 0.500
0.849 0.349 0.500
```

Values from the calculation:
SG = P4/mbm
formation energy = 336 meV per atom
total DFT energy (no corrections) = -3.151 eV/atom
energy above the lowest structure with this stoichiometry = 0.0167 eV/atom
total magnetization = 0.00 μB/cell

# 2
The following is a PBE calculation of Be3AgSn after structural relaxation, from the Alexandria database.

```
Be3AgSn
1.0
-3.637 -2.674 0.873
1.416 -2.973 -3.209
2.431 -2.269 3.175
Sn Be Ag
1 3 1
Direct
0.000 0.000 0.000
0.500 0.000 0.000
0.000 0.500 0.000
0.000 0.000 0.500
0.500 0.500 0.500
```

Values from the calculation:
SG = Pm-3m
formation energy = 1232 meV per atom
total DFT energy (no corrections) = -2.374 eV/atom
energy above the lowest structure with this stoichiometry = 0.4519 eV/atom
total magnetization = 0.00 μB/cell

# 3
The following is a PBE calculation of TaBe2AgSn after structural relaxation, from the Alexandria database.

```
TaBe2AgSn
1.0
-3.484 -2.900 -0.902
-0.245 -1.294 5.110
-3.029 3.416 0.720
Sn Be Ag Ta
1 2 1 1
Direct
0.000 0.500 0.000
0.000 0.000 0.500
0.500 0.000 0.000
0.500 0.500 0.500
0.000 0.000 0.000
```

Values from the calculation:
SG = P4/mmm
formation energy = 1297 meV per atom
total DFT energy (no corrections) = -3.935 eV/atom
total magnetization = 0.00 μB/cell

# 4
The following is a PBE calculation of BeTcAg2Sn after structural relaxation, from the Alexandria database.

```
BeTcAg2Sn
1.0
5.111 0.000 0.000
0.000 4.228 0.000
0.000 0.000 5.111
Ag Sn Be Tc
2 1 1 1
Direct
0.000 0.000 0.500
0.500 0.000 0.000
0.500 0.500 0.500
0.000 0.500 0.000
0.000 0.000 0.000
```

Values from the calculation:
SG = P4/mmm
formation energy = 1149 meV per atom
total DFT energy (no corrections) = -3.611 eV/atom
total magnetization = 0.66 μB/cell

# 5
The following is a PBE calculation of Ti2BeAgSn after structural relaxation, from the Alexandria database.

```
Ti2BeAgSn
1.0
-2.801 1.603 -3.708
-1.791 -4.576 -0.626
-3.628 0.986 3.167
Ti Sn Be Ag
2 1 1 1
Direct
0.500 0.000 0.000
0.000 0.000 0.500
0.000 0.500 0.000
0.500 0.500 0.500
0.000 0.000 0.000
```

Values from the calculation:
SG = P4/mmm
formation energy = 1303 meV per atom
total DFT energy (no corrections) = -3.971 eV/atom
total magnetization = 0.00 μB/cell

# 6
The following is a PBE calculation of SrBe2Ag after structural relaxation, from the Alexandria database.

```
SrBe2Ag
1.0
4.528 0.000 0.000
0.000 4.528 0.000
2.264 2.264 8.500
Be Sr Ag
4 2 2
Direct
0.375 0.125 0.750
0.875 0.625 0.250
0.875 0.125 0.750
0.875 0.125 0.250
0.500 0.500 0.000
0.250 0.750 0.500
0.750 0.250 0.500
0.000 0.000 0.000
```

Values from the calculation:
SG = I4_1/amd
formation energy = 274 meV per atom
total DFT energy (no corrections) = -2.723 eV/atom
energy above the lowest structure with this stoichiometry = 0.1757 eV/atom
total magnetization = 0.00 μB/cell

# 7
The following is a PBE calculation of SrBe2Ag after structural relaxation, from the Alexandria database.

```
SrBe2Ag
1.0
4.889 -0.003 0.001
-0.187 4.885 -0.001
-1.749 -3.021 3.423
Sr Ag Be
1 1 2
Direct
0.750 0.250 0.500
0.250 0.750 0.500
0.412 0.412 0.000
0.088 0.088 0.000
```

Values from the calculation:
SG = Immm
formation energy = 432 meV per atom
total DFT energy (no corrections) = -2.564 eV/atom
energy above the lowest structure with this stoichiometry = 0.3343 eV/atom
total magnetization = 0.00 μB/cell

# 8
The following is a PBE calculation of SrBeAg after structural relaxation, from the Alexandria database.

```
SrBeAg
1.0
-4.222 -2.501 -3.669
-1.533 -1.870 -5.630
0.698 -3.313 -0.109
Ag Sr Be
1 1 1
Direct
0.953 0.953 0.047
0.670 0.670 0.330
0.377 0.377 0.623
```

Values from the calculation:
SG = I4mm
formation energy = 206 meV per atom
total DFT energy (no corrections) = -2.547 eV/atom
energy above the lowest structure with this stoichiometry = 0.1167 eV/atom
total magnetization = 0.00 μB/cell

# 9
The following is a PBE calculation of SrBeAg after structural relaxation, from the Alexandria database.

```
SrBeAg
1.0
-4.066 2.442 -0.543
-3.197 0.131 3.543
-0.698 4.046 2.437
Be Sr Ag
1 1 1
Direct
0.250 0.250 0.250
0.000 0.000 0.000
0.500 0.500 0.500
```

Values from the calculation:
SG = F-43m
formation energy = 402 meV per atom
total DFT energy (no corrections) = -2.351 eV/atom
energy above the lowest structure with this stoichiometry = 0.3130 eV/atom
total magnetization = 0.00 μB/cell

# 10
The following is a PBE calculation of SrBe2Ag2 after structural relaxation, from the Alexandria database.

```
SrBe2Ag2
1.0
-1.674 0.085 7.586
7.122 -2.661 1.601
0.992 2.768 0.188
Ag Be Sr
4 4 2
Direct
0.367 0.867 0.000
0.133 0.367 0.000
0.633 0.133 0.000
0.867 0.633 0.000
0.357 0.143 0.500
0.143 0.643 0.500
0.857 0.357 0.500
0.643 0.857 0.500
0.500 0.500 0.000
0.000 0.000 0.000
```

Values from the calculation:
SG = P4/mbm
formation energy = 345 meV per atom
total DFT energy (no corrections) = -2.622 eV/atom
energy above the lowest structure with this stoichiometry = 0.2247 eV/atom
total magnetization = 0.00 μB/cell

# 11
The following is a PBE calculation of SrBe2Ag after structural relaxation, from the Alexandria database.

```
SrBe2Ag
1.0
-1.323 -2.430 -3.355
-2.147 -2.613 2.740
-3.805 2.669 -0.433
Be Ag Sr
2 1 1
Direct
0.000 0.503 0.750
0.000 0.997 0.750
0.500 0.750 0.750
0.500 0.250 0.250
```

Values from the calculation:
SG = Pmmm
formation energy = 265 meV per atom
total DFT energy (no corrections) = -2.731 eV/atom
energy above the lowest structure with this stoichiometry = 0.1670 eV/atom
total magnetization = 0.00 μB/cell

# 12
The following is a PBE calculation of SrBeAg after structural relaxation, from the Alexandria database.

```
SrBeAg
1.0
4.264 0.000 0.000
-2.132 3.693 0.000
0.000 0.000 4.598
Sr Ag Be
1 1 1
Direct
0.333 0.667 0.667
0.000 0.000 0.167
0.667 0.333 0.167
```

Values from the calculation:
SG = P-6m2
formation energy = 89 meV per atom
total DFT energy (no corrections) = -2.664 eV/atom
energy above the lowest structure with this stoichiometry = 0.0000 eV/atom
total magnetization = 0.00 μB/cell

# 13
The following is a PBE calculation of SrBe2Ag2 after structural relaxation, from the Alexandria database.

```
SrBe2Ag2
1.0
4.411 0.000 0.000
0.000 4.411 0.000
2.205 2.205 4.949
Ag Sr Be
2 1 2
Direct
0.351 0.351 0.298
0.649 0.649 0.702
0.000 0.000 0.000
0.750 0.250 0.500
0.250 0.750 0.500
```

Values from the calculation:
SG = I4/mmm
formation energy = 120 meV per atom
total DFT energy (no corrections) = -2.847 eV/atom
energy above the lowest structure with this stoichiometry = 0.0000 eV/atom
total magnetization = 0.00 μB/cell

# 14
The following is a PBE calculation of SrBe2Ag after structural relaxation, from the Alexandria database.

```
SrBe2Ag
1.0
0.000 3.329 3.329
3.329 0.000 3.329
3.329 3.329 0.000
Ag Sr Be
1 1 2
Direct
0.500 0.500 0.500
0.000 0.000 0.000
0.250 0.250 0.250
0.750 0.750 0.750
```

Values from the calculation:
SG = Fm-3m
formation energy = 554 meV per atom
total DFT energy (no corrections) = -2.443 eV/atom
energy above the lowest structure with this stoichiometry = 0.4559 eV/atom
total magnetization = 0.00 μB/cell

# 15
The following is a PBE calculation of SrBe2Ag after structural relaxation, from the Alexandria database.

```
SrBe2Ag
1.0
4.918 0.109 0.000
-0.136 4.918 0.000
0.000 0.000 3.087
Be Ag Sr
2 1 1
Direct
0.500 0.500 0.000
0.000 0.000 0.000
0.000 0.500 0.500
0.500 0.000 0.500
```

Values from the calculation:
SG = Cmmm
formation energy = 821 meV per atom
total DFT energy (no corrections) = -2.175 eV/atom
energy above the lowest structure with this stoichiometry = 0.7232 eV/atom
total magnetization = 0.00 μB/cell